Entry 1:
A plane-wave DFT calculation with PBE was carried out for a relaxed BaAl2Au crystal.

Results
The calculation puts the density of states at the Fermi level at 0.47 states/eV/atom. As for the density: 6.0 Mg/m³. As for the final energy: -14.5 eV/cell.

Cell and atoms, written as POSCAR:
```
BaAl2Au
1.0
4.464 0.003 0.002
2.229 3.868 0.002
2.228 1.289 6.265
Al Au Ba
2 1 1
Cartesian
6.692 3.870 4.153
2.228 1.289 5.396
4.460 2.579 4.479
2.231 1.290 1.640
```

---

Entry 2:
A plane-wave DFT calculation with PBE was carried out for a relaxed Al2VRu crystal.

Results
The calculation puts the density of states at the Fermi level at 1.02 states/eV/atom. As for the density: 6.1 Mg/m³. The relative energy among the computed polymorphs is 0 meV/atom. As for the final energy: -27.5 eV/cell.

Cell and atoms, written as POSCAR:
```
Al2VRu
1.0
-1.308 -2.220 1.448
-0.932 -1.127 -2.569
5.423 -3.482 -0.440
Al V Ru
2 1 1
Cartesian
4.198 -2.696 -0.341
1.225 -0.786 -0.099
1.591 -3.415 -0.781
-1.120 -1.674 -0.560
```

---

Entry 3:
A plane-wave DFT calculation with PBE was carried out for a relaxed ScTlB3 crystal.

Results
The calculation puts the density of states at the Fermi level at 0.45 states/eV/atom. As for the density: 5.2 Mg/m³. The relative energy among the computed polymorphs is 222 meV/atom. As for the final energy: -18.3 eV/cell.

Cell and atoms, written as POSCAR:
```
ScTlB3
1.0
-2.863 -3.313 -0.889
1.892 -0.560 -4.009
2.861 -2.945 1.762
Sc Tl B
1 1 3
Cartesian
0.945 -3.409 -1.568
0.000 0.000 0.000
-1.431 -1.657 -0.444
0.946 -0.280 -2.004
1.431 -1.472 0.881
```

---

Entry 4:
A plane-wave DFT calculation with PBE was carried out for a relaxed NdAl2Ag3 crystal.

Results
The calculation puts the density of states at the Fermi level at 0.61 states/eV/atom. As for the density: 6.9 Mg/m³. As for the final energy: -44.4 eV/cell.

Cell and atoms, written as POSCAR:
```
NdAl2Ag3
1.0
-4.167 -0.537 1.019
3.451 -7.824 0.818
0.887 4.729 6.114
Al Ag Nd
4 6 2
Cartesian
1.150 0.098 4.755
-1.879 0.262 1.625
2.050 -3.894 6.328
-0.980 -3.730 3.198
1.357 -2.481 4.241
-0.261 -4.778 5.587
1.349 -4.992 2.888
0.431 1.147 2.365
-1.179 1.360 5.065
-1.187 -1.151 3.711
-0.296 -1.574 7.131
0.466 -2.058 0.822
```

---

Entry 5:
A plane-wave DFT calculation with PBE was carried out for a relaxed Zn2Cu3Au8 crystal.

Results
The calculation puts the density of states at the Fermi level at 0.17 states/eV/atom. As for the density: 13.6 Mg/m³. The relative energy among the computed polymorphs is 0 meV/atom. As for the final energy: -41.5 eV/cell.

Cell and atoms, written as POSCAR:
```
Zn2Cu3Au8
1.0
-3.185 0.565 2.098
0.314 -7.767 2.567
3.984 5.945 4.446
Cu Au Zn
3 8 2
Cartesian
-1.592 0.282 1.049
0.076 -1.870 0.618
4.223 0.048 6.396
1.399 3.745 4.656
-2.124 1.093 3.565
1.090 -3.419 2.575
3.239 -2.349 5.547
-0.285 -5.002 4.456
0.024 2.162 6.537
-0.441 -1.132 3.177
1.555 -0.125 5.935
0.592 -2.592 5.137
0.522 1.335 3.975
```

---

Entry 6:
A plane-wave DFT calculation with PBE was carried out for a relaxed Cs2Te2O5 crystal.

Results
The calculation puts the density of states at the Fermi level at 0.00 states/eV/atom. As for the density: 5.0 Mg/m³. The relative energy among the computed polymorphs is 120 meV/atom. As for the final energy: -44.0 eV/cell.

Cell and atoms, written as POSCAR:
```
Cs2Te2O5
1.0
4.322 0.000 0.000
-2.161 6.828 -0.823
0.000 -1.843 6.920
Te O Cs
2 5 2
Cartesian
2.161 4.766 -0.442
0.000 0.219 6.538
0.000 0.000 0.000
2.161 2.401 -0.252
2.161 4.997 1.397
0.000 2.585 6.348
0.000 -0.011 4.699
0.000 4.424 3.636
2.161 0.561 2.460
```

---

Entry 7:
A plane-wave DFT calculation with PBE was carried out for a relaxed CeIn2Tc crystal.

Results
The calculation puts the density of states at the Fermi level at 0.34 states/eV/atom. As for the density: 8.4 Mg/m³. As for the final energy: -45.9 eV/cell.

Cell and atoms, written as POSCAR:
```
CeIn2Tc
1.0
-4.059 0.091 -1.743
1.245 -4.490 2.465
-3.130 3.227 7.459
Tc Ce In
2 2 4
Cartesian
-4.862 -0.286 5.709
-1.082 -0.886 2.472
-3.521 -3.163 2.433
-2.423 1.991 5.748
-2.242 -1.364 5.151
-2.393 -1.157 -0.087
-3.551 -0.015 8.268
-3.702 0.192 3.031
```

---

Entry 8:
A plane-wave DFT calculation with PBE was carried out for a relaxed Be5Cr4 crystal.

Results
The calculation puts the density of states at the Fermi level at 0.25 states/eV/atom. As for the density: 4.8 Mg/m³. As for the final energy: -57.3 eV/cell.

Cell and atoms, written as POSCAR:
```
Be5Cr4
1.0
-3.827 3.827 1.482
3.827 -3.827 1.482
3.827 3.827 -1.482
Be Cr
5 4
Cartesian
0.000 0.000 0.000
2.545 2.545 0.000
1.281 -1.281 1.482
1.281 1.281 1.482
-1.281 1.281 1.482
0.000 5.195 0.000
5.195 0.000 0.000
0.000 2.459 0.000
2.459 0.000 0.000
```

---

Entry 9:
A plane-wave DFT calculation with PBE was carried out for a relaxed CaAg2Pd2 crystal.

Results
The calculation puts the density of states at the Fermi level at 0.35 states/eV/atom. As for the density: 7.5 Mg/m³. The relative energy among the computed polymorphs is 6 meV/atom. As for the final energy: -19.4 eV/cell.

Cell and atoms, written as POSCAR:
```
CaAg2Pd2
1.0
4.015 0.000 0.000
0.000 4.015 0.000
2.007 2.007 6.404
Pd Ag Ca
2 2 1
Cartesian
4.015 4.015 5.109
2.007 2.007 1.294
2.007 4.015 3.202
4.015 2.007 3.202
0.000 0.000 0.000
```

---

Entry 10:
A plane-wave DFT calculation with PBE was carried out for a relaxed Sr2InAg4Sn3 crystal.

Results
The calculation puts the density of states at the Fermi level at 0.63 states/eV/atom. As for the density: 6.9 Mg/m³. As for the final energy: -32.8 eV/cell.

Cell and atoms, written as POSCAR:
```
Sr2InAg4Sn3
1.0
-4.239 1.696 -1.138
0.569 -1.536 -4.410
-4.911 -10.294 2.952
In Sr Sn Ag
1 2 3 4
Cartesian
-4.290 -5.068 -1.298
-3.305 -1.639 0.144
-3.440 -8.576 0.034
-2.455 -5.147 1.476
-6.387 -8.099 1.997
-0.358 -2.116 -1.819
-1.491 -4.491 -1.138
-5.254 -5.724 1.316
0.000 0.000 0.000
-1.835 0.080 -2.774
```

---

Entry 11:
A plane-wave DFT calculation with PBE was carried out for a relaxed Te2PbCl crystal.

Results
The calculation puts the density of states at the Fermi level at 1.42 states/eV/atom. As for the density: 7.3 Mg/m³. The relative energy among the computed polymorphs is 459 meV/atom. As for the final energy: -11.6 eV/cell.

Cell and atoms, written as POSCAR:
```
Te2PbCl
1.0
0.000 3.836 3.836
3.836 0.000 3.836
3.836 3.836 0.000
Te Pb Cl
2 1 1
Cartesian
1.918 1.918 1.918
5.753 5.753 5.753
3.836 3.836 3.836
0.000 0.000 0.000
```

---

Entry 12:
A plane-wave DFT calculation with PBE was carried out for a relaxed LiZrAlNi crystal.

Results
As for the density: 5.2 Mg/m³. As for the final energy: -22.0 eV/cell.

Cell and atoms, written as POSCAR:
```
LiZrAlNi
1.0
4.363 0.000 0.000
2.182 3.779 0.000
2.182 1.260 3.562
Ni Zr Al Li
1 1 1 1
Cartesian
2.182 1.260 0.891
4.363 2.519 1.781
0.000 0.000 0.000
6.545 3.779 2.672
```

---

Entry 13:
A plane-wave DFT calculation with PBE was carried out for a relaxed Sc3Al3C crystal.

Results
The calculation puts the density of states at the Fermi level at 0.77 states/eV/atom. As for the density: 3.2 Mg/m³. As for the final energy: -171.0 eV/cell.

Cell and atoms, written as POSCAR:
```
Sc3Al3C
1.0
-4.624 4.211 6.146
3.127 0.646 8.166
2.772 7.746 3.034
Sc C Al
12 4 12
Cartesian
-0.680 5.409 12.154
1.955 7.193 5.192
-0.498 2.598 6.495
1.136 3.704 2.178
3.885 7.591 10.233
-2.611 5.011 7.113
2.174 2.810 8.360
-0.634 5.315 4.530
-0.900 9.792 8.985
1.272 0.986 4.142
2.333 3.951 5.304
-1.695 2.350 3.369
1.723 1.898 6.251
1.545 5.448 3.685
0.159 1.575 2.168
-2.153 3.681 5.241
-0.589 4.003 9.324
-0.767 7.554 6.758
-0.990 6.650 9.268
1.445 7.814 8.244
1.061 10.489 14.437
2.583 9.103 12.414
0.031 10.276 11.748
0.797 7.876 10.841
3.109 5.771 7.768
0.149 7.939 13.438
0.532 5.264 7.245
1.562 5.476 9.933
```

---

Entry 14:
A plane-wave DFT calculation with PBE was carried out for a relaxed LiLa2MoN crystal.

Results
The calculation puts the density of states at the Fermi level at 0.78 states/eV/atom. As for the density: 5.8 Mg/m³. As for the final energy: -32.8 eV/cell.

Cell and atoms, written as POSCAR:
```
LiLa2MoN
1.0
-1.636 1.917 -4.655
3.941 -2.557 -2.438
-2.368 -3.191 -0.482
La N Mo Li
2 1 1 1
Cartesian
-0.818 0.958 -2.327
1.971 -1.279 -1.219
0.000 0.000 0.000
-1.184 -1.596 -0.241
-0.032 -1.916 -3.787
```

---

Entry 15:
A plane-wave DFT calculation with PBE was carried out for a relaxed Li2Y crystal.

Results
The calculation puts the density of states at the Fermi level at 0.68 states/eV/atom. As for the density: 2.3 Mg/m³. The relative energy among the computed polymorphs is 43 meV/atom. As for the final energy: -19.7 eV/cell.

Cell and atoms, written as POSCAR:
```
Li2Y
1.0
1.752 5.622 0.000
-1.752 5.622 0.000
0.000 2.512 7.485
Li Y
4 2
Cartesian
0.000 7.631 1.074
0.000 6.126 6.411
0.000 0.000 0.000
0.000 1.256 3.743
0.000 9.329 5.137
0.000 4.428 2.348
```

---

Entry 16:
A plane-wave DFT calculation with PBE was carried out for a relaxed Mg2AlTc crystal.

Results
The calculation puts the density of states at the Fermi level at 0.60 states/eV/atom. As for the density: 4.3 Mg/m³. As for the final energy: -17.0 eV/cell.

Cell and atoms, written as POSCAR:
```
Mg2AlTc
1.0
-2.458 -0.714 -4.809
5.143 -0.225 -0.057
0.284 -2.749 -0.324
Tc Mg Al
1 2 1
Cartesian
1.343 -0.469 -2.433
0.000 0.000 0.000
2.713 -1.487 -0.191
-1.087 -1.732 -2.566
```

---

Entry 17:
A plane-wave DFT calculation with PBE was carried out for a relaxed Ba2InSn2Hg4 crystal.

Results
The calculation puts the density of states at the Fermi level at 0.37 states/eV/atom. As for the density: 8.4 Mg/m³. As for the final energy: -19.2 eV/cell.

Cell and atoms, written as POSCAR:
```
Ba2InSn2Hg4
1.0
-6.732 1.525 2.535
0.823 -4.975 -5.352
4.740 -3.665 4.262
Hg Sn In Ba
4 2 1 2
Cartesian
1.921 -4.608 -2.658
-2.213 -1.566 1.115
3.643 -4.032 1.569
1.045 -5.548 0.330
1.684 -2.614 -0.330
3.880 -6.025 -0.760
0.000 0.000 0.000
-1.563 -3.885 -1.681
0.395 -3.230 3.126
```

---

Entry 18:
A plane-wave DFT calculation with PBE was carried out for a relaxed SrNbSnW2 crystal.

Results
The calculation puts the density of states at the Fermi level at 1.36 states/eV/atom. As for the density: 9.5 Mg/m³. As for the final energy: -26.5 eV/cell.

Cell and atoms, written as POSCAR:
```
SrNbSnW2
1.0
-2.581 -2.716 -3.095
3.760 -3.147 -0.374
-1.774 -2.563 3.728
W Sn Nb Sr
2 1 1 1
Cartesian
-0.887 -1.281 1.864
-1.290 -1.358 -1.547
-0.297 -4.213 0.130
1.880 -1.573 -0.187
0.000 0.000 0.000
```

---

Entry 19:
A plane-wave DFT calculation with PBE was carried out for a relaxed La2ReBS crystal.

Results
The calculation puts the density of states at the Fermi level at 0.86 states/eV/atom. As for the density: 8.0 Mg/m³. As for the final energy: -31.1 eV/cell.

Cell and atoms, written as POSCAR:
```
La2ReBS
1.0
-2.252 -0.147 -4.872
2.840 -1.940 -1.254
-2.532 -4.551 1.307
La S B Re
2 1 1 1
Cartesian
-1.126 -0.073 -2.436
-1.266 -2.275 0.654
1.420 -0.970 -0.627
0.000 0.000 0.000
-0.972 -3.319 -2.409
```

---

Entry 20:
A plane-wave DFT calculation with PBE was carried out for a relaxed MnGaRh crystal.

Results
The calculation puts the density of states at the Fermi level at 0.45 states/eV/atom. As for the density: 8.6 Mg/m³. As for the final energy: -20.4 eV/cell.

Cell and atoms, written as POSCAR:
```
MnGaRh
1.0
2.844 0.000 0.000
0.000 4.217 0.000
0.000 -2.109 3.652
Ga Rh Mn
1 1 1
Cartesian
0.736 2.109 1.217
0.210 0.000 0.000
1.899 0.000 2.435
```

---

Entry 21:
A plane-wave DFT calculation with PBE was carried out for a relaxed MgIn2 crystal.

Results
The calculation puts the density of states at the Fermi level at 0.53 states/eV/atom. As for the density: 5.7 Mg/m³. As for the final energy: -28.8 eV/cell.

Cell and atoms, written as POSCAR:
```
MgIn2
1.0
6.294 0.000 0.000
0.000 4.726 0.000
0.000 0.000 9.929
In Mg
8 4
Cartesian
2.294 3.544 0.729
0.723 1.181 2.384
4.000 1.181 9.199
2.424 3.544 7.348
0.853 1.181 5.694
5.440 3.544 4.235
5.571 3.544 7.545
3.869 1.181 2.581
5.459 3.544 0.895
3.982 1.181 5.859
2.312 3.544 4.070
0.835 1.181 9.034
```

---

Entry 22:
A plane-wave DFT calculation with PBE was carried out for a relaxed Dy3HfTl4Te8 crystal.

Results
The calculation puts the density of states at the Fermi level at 0.29 states/eV/atom. As for the density: 7.7 Mg/m³. As for the final energy: -72.9 eV/cell.

Cell and atoms, written as POSCAR:
```
Dy3HfTl4Te8
1.0
-8.479 1.122 1.697
-1.992 -0.826 -9.408
4.352 -6.589 3.700
Te Tl Dy Hf
8 4 3 1
Cartesian
-2.600 -0.088 -2.238
-5.612 -2.909 -3.718
-0.506 -3.384 -0.293
-3.519 -6.205 -1.772
-4.757 -2.946 0.582
-1.362 -3.347 -4.593
-7.031 0.498 -1.352
0.913 -6.791 -2.659
-4.240 0.561 0.848
0.000 0.000 0.000
-2.063 -2.734 2.698
2.176 -3.294 1.850
1.180 -3.707 -2.854
-3.059 -3.146 -2.005
-5.235 0.148 -3.856
-0.996 -0.413 -4.704
```

---

Entry 23:
A plane-wave DFT calculation with PBE was carried out for a relaxed Y2Ho2Er crystal.

Results
The calculation puts the density of states at the Fermi level at 1.44 states/eV/atom. As for the density: 7.1 Mg/m³. The relative energy among the computed polymorphs is 0 meV/atom. As for the final energy: -106.4 eV/cell.

Cell and atoms, written as POSCAR:
```
Y2Ho2Er
1.0
6.135 0.000 -0.484
0.000 7.109 0.000
-0.910 0.000 14.470
Y Er Ho
8 4 8
Cartesian
0.270 2.667 10.044
0.622 0.889 1.416
3.337 0.888 9.802
1.888 6.221 4.184
4.955 4.442 3.941
3.689 2.665 1.174
4.604 6.220 12.570
1.536 4.443 12.812
4.942 0.890 3.946
3.351 4.444 9.797
1.874 2.664 4.188
0.284 6.219 10.040
1.068 0.889 7.105
4.157 6.220 6.881
4.600 2.666 12.578
3.693 6.221 1.166
1.089 4.443 7.123
0.625 4.442 1.408
4.136 2.666 6.863
1.533 0.888 12.820
```